{
  "formula": "CaSiRh",
  "functional": "PBE",
  "state": "relaxed",
  "vol_a3_per_cell": 62.76,
  "formation_energy_uncorrected_mev_per_atom": -716,
  "cell": [[4.0351, 0.0000, 0.0000], [-2.0176, 3.4945, 0.0000], [0.0000, 0.0000, 4.4508]],
  "species": ["Ca", "Si", "Rh"],
  "frac_coords": [[0.0000, 0.0000, 0.0000], [0.3333, 0.6667, 0.5000], [0.6667, 0.3333, 0.5000]]
}